Pr4Ga2Pd5, relaxed, DFT GGA-PBE; final energy = -59.52 eV for the cell shown; energy relative to the elements = -0.763 eV per atom
1.0
7.207 0.000 0.000
0.000 4.113 0.000
-0.014 0.000 8.444
Pr Ga Pd
4 2 5
Cartesian
1.672 0.000 1.070
1.861 0.000 5.215
5.332 0.000 3.229
5.521 0.000 7.374
2.997 2.057 7.345
4.196 2.057 1.099
-0.007 2.057 4.222
0.481 2.057 7.077
2.645 2.057 3.118
4.549 2.057 5.326
6.712 2.057 1.367